Entry 1:
Crystalline BaCu2Si2O7 at its relaxed geometry, computed with PBEsol.

Structure (CIF):
```
data_BaCu2Si2O7
_chemical_formula_sum 'Ba4 Cu8 Si8 O28'
_symmetry_space_group_name_H-M 'P n m a'
_symmetry_Int_Tables_number 62
_cell_length_a 6.733
_cell_length_b 13.000
_cell_length_c 7.052
_cell_angle_alpha 90.00
_cell_angle_beta 90.00
_cell_angle_gamma 90.00
loop_
_symmetry_equiv_pos_as_xyz
'x,y,z'
'-x,-y,-z'
'-x+1/2,-y,z+1/2'
'x+1/2,y,-z+1/2'
'x+1/2,-y+1/2,-z+1/2'
'-x+1/2,y+1/2,z+1/2'
'-x,y+1/2,-z'
'x,-y+1/2,z'
loop_
_atom_site_label
_atom_site_type_symbol
_atom_site_fract_x
_atom_site_fract_y
_atom_site_fract_z
_atom_site_occupancy
Ba1 Ba 0.003 0.250 0.031 1
Cu1 Cu 0.229 0.503 0.779 1
Si1 Si 0.000 0.133 0.516 1
O1 O 0.090 0.121 0.729 1
O2 O 0.102 0.750 0.496 1
O3 O 0.165 0.134 0.345 1
O4 O 0.187 0.553 0.523 1
```

Calculated values
As for the total energy: -7.04 eV/atom. The value obtained for the formation energy without anion corrections is -2119 meV per atom. As for the size of the total moment: 0.0 Bohr magnetons per cell.

---

Entry 2:
Crystalline Cr2FeRe at its relaxed geometry, computed with PBEsol.

Structure (CIF):
```
data_Cr2FeRe
_chemical_formula_sum 'Cr2 Fe1 Re1'
_symmetry_space_group_name_H-M 'P m m m'
_symmetry_Int_Tables_number 47
_cell_length_a 2.945
_cell_length_b 4.034
_cell_length_c 4.050
_cell_angle_alpha 90.00
_cell_angle_beta 90.00
_cell_angle_gamma 90.00
loop_
_symmetry_equiv_pos_as_xyz
'x,y,z'
'-x,-y,-z'
'-x,-y,z'
'x,y,-z'
'x,-y,-z'
'-x,y,z'
'-x,y,-z'
'x,-y,z'
loop_
_atom_site_label
_atom_site_type_symbol
_atom_site_fract_x
_atom_site_fract_y
_atom_site_fract_z
_atom_site_occupancy
Cr1 Cr 0.000 0.000 0.000 1
Cr2 Cr 0.500 0.500 0.000 1
Fe1 Fe 0.000 0.500 0.500 1
Re1 Re 0.500 0.000 0.500 1
```

Calculated values
As for the total energy: -10.59 eV/atom. The value obtained for the formation energy from the elements is 0.105 eV/atom. As for the size of the total moment: 2.6 Bohr magnetons per cell. The excess energy over the best structure of this formula in the dataset comes out at 13 meV per atom.

---

Entry 3:
Crystalline AgSnF6 at its relaxed geometry, computed with PBEsol.

Structure (CIF):
```
data_AgSnF6
_chemical_formula_sum 'Ag1 Sn1 F6'
_symmetry_space_group_name_H-M 'P -1'
_symmetry_Int_Tables_number 2
_cell_length_a 5.162
_cell_length_b 5.243
_cell_length_c 5.633
_cell_angle_alpha 64.82
_cell_angle_beta 89.27
_cell_angle_gamma 61.16
loop_
_symmetry_equiv_pos_as_xyz
'x,y,z'
'-x,-y,-z'
loop_
_atom_site_label
_atom_site_type_symbol
_atom_site_fract_x
_atom_site_fract_y
_atom_site_fract_z
_atom_site_occupancy
Ag1 Ag 0.000 0.000 0.000 1
Sn1 Sn 0.500 0.000 0.500 1
F1 F 0.118 0.138 0.263 1
F2 F 0.252 0.158 0.742 1
F3 F 0.431 0.441 0.277 1
```

Calculated values
As for the total energy: -4.32 eV/atom. The value obtained for the formation energy without anion corrections is -1932 meV per atom. As for the size of the total moment: 1.0 Bohr magnetons per cell.

---

Entry 4:
Crystalline BaSrAl3 at its relaxed geometry, computed with PBEsol.

Structure (CIF):
```
data_BaSrAl3
_chemical_formula_sum 'Ba1 Sr1 Al3'
_symmetry_space_group_name_H-M 'P m -3 m'
_symmetry_Int_Tables_number 221
_symmetry_space_group_name_Hall '-P 4 2 3'
_cell_length_a 5.726
_cell_length_b 5.726
_cell_length_c 5.726
_cell_angle_alpha 90.00
_cell_angle_beta 90.00
_cell_angle_gamma 90.00
loop_
_atom_site_label
_atom_site_type_symbol
_atom_site_fract_x
_atom_site_fract_y
_atom_site_fract_z
_atom_site_occupancy
Ba1 Ba 0.000 0.000 0.000 1
Sr1 Sr 0.500 0.500 0.500 1
Al1 Al 0.000 0.000 0.500 1
```

Calculated values
As for the total energy: -2.32 eV/atom. The value obtained for the formation energy from the elements is 0.933 eV/atom. As for the size of the total moment: 0.0 Bohr magnetons per cell.

---

Entry 5:
Crystalline Li2AlAg at its relaxed geometry, computed with PBEsol.

Structure (CIF):
```
data_Li2AlAg
_chemical_formula_sum 'Li4 Al2 Ag2'
_symmetry_space_group_name_H-M 'C 1 m 1'
_symmetry_Int_Tables_number 8
_cell_length_a 9.315
_cell_length_b 2.990
_cell_length_c 4.693
_cell_angle_alpha 90.00
_cell_angle_beta 107.89
_cell_angle_gamma 90.00
loop_
_symmetry_equiv_pos_as_xyz
'x,y,z'
'x,-y,z'
'x+1/2,y+1/2,z'
'x+1/2,-y+1/2,z'
loop_
_atom_site_label
_atom_site_type_symbol
_atom_site_fract_x
_atom_site_fract_y
_atom_site_fract_z
_atom_site_occupancy
Li1 Li 0.000 0.000 0.000 1
Li2 Li 0.242 0.000 0.813 1
Al1 Al 0.255 0.500 0.331 1
Ag1 Ag 0.000 0.500 0.491 1
```

Calculated values
As for the total energy: -3.02 eV/atom. The value obtained for the formation energy from the elements is -0.184 eV/atom. As for the size of the total moment: 0.0 Bohr magnetons per cell.

---

Entry 6:
Crystalline KPr5C2Cl10 at its relaxed geometry, computed with PBEsol.

Structure (CIF):
```
data_KPr5C2Cl10
_chemical_formula_sum 'K2 Pr10 C4 Cl20'
_symmetry_space_group_name_H-M 'P 63'
_symmetry_Int_Tables_number 173
_cell_length_a 8.3944
_cell_length_b 8.3944
_cell_length_c 14.9346
_cell_angle_alpha 90.00
_cell_angle_beta 90.00
_cell_angle_gamma 120.00
loop_
_symmetry_equiv_pos_as_xyz
'x,y,z'
'x-y,x,z+1/2'
'-y,x-y,z'
'-x,-y,z+1/2'
'-x+y,-x,z'
'y,-x+y,z+1/2'
loop_
_atom_site_label
_atom_site_type_symbol
_atom_site_fract_x
_atom_site_fract_y
_atom_site_fract_z
_atom_site_occupancy
K1 K 0.0000 0.0000 0.0000 1
Pr1 Pr 0.0321 0.6188 0.3018 1
Pr2 Pr 0.3333 0.6667 0.1008 1
Pr3 Pr 0.3333 0.6667 0.5072 1
C1 C 0.3333 0.6667 0.2561 1
C2 C 0.3333 0.6667 0.3527 1
Cl1 Cl 0.0027 0.3250 0.6173 1
Cl2 Cl 0.0130 0.7574 0.8251 1
Cl3 Cl 0.0231 0.3811 0.9883 1
Cl4 Cl 0.3333 0.6667 0.7490 1
```

Calculated values
As for the total energy: -5.58 eV/atom. The value obtained for the formation energy without anion corrections is -1887 meV per atom. As for the size of the total moment: 0.0 Bohr magnetons per cell.

---

Copy entry 3 word for word.
Crystalline AgSnF6 at its relaxed geometry, computed with PBEsol.

Structure (CIF):
```
data_AgSnF6
_chemical_formula_sum 'Ag1 Sn1 F6'
_symmetry_space_group_name_H-M 'P -1'
_symmetry_Int_Tables_number 2
_cell_length_a 5.162
_cell_length_b 5.243
_cell_length_c 5.633
_cell_angle_alpha 64.82
_cell_angle_beta 89.27
_cell_angle_gamma 61.16
loop_
_symmetry_equiv_pos_as_xyz
'x,y,z'
'-x,-y,-z'
loop_
_atom_site_label
_atom_site_type_symbol
_atom_site_fract_x
_atom_site_fract_y
_atom_site_fract_z
_atom_site_occupancy
Ag1 Ag 0.000 0.000 0.000 1
Sn1 Sn 0.500 0.000 0.500 1
F1 F 0.118 0.138 0.263 1
F2 F 0.252 0.158 0.742 1
F3 F 0.431 0.441 0.277 1
```

Calculated values
As for the total energy: -4.32 eV/atom. The value obtained for the formation energy without anion corrections is -1932 meV per atom. As for the size of the total moment: 1.0 Bohr magnetons per cell.

---

Copy entry 6 word for word.
Crystalline KPr5C2Cl10 at its relaxed geometry, computed with PBEsol.

Structure (CIF):
```
data_KPr5C2Cl10
_chemical_formula_sum 'K2 Pr10 C4 Cl20'
_symmetry_space_group_name_H-M 'P 63'
_symmetry_Int_Tables_number 173
_cell_length_a 8.3944
_cell_length_b 8.3944
_cell_length_c 14.9346
_cell_angle_alpha 90.00
_cell_angle_beta 90.00
_cell_angle_gamma 120.00
loop_
_symmetry_equiv_pos_as_xyz
'x,y,z'
'x-y,x,z+1/2'
'-y,x-y,z'
'-x,-y,z+1/2'
'-x+y,-x,z'
'y,-x+y,z+1/2'
loop_
_atom_site_label
_atom_site_type_symbol
_atom_site_fract_x
_atom_site_fract_y
_atom_site_fract_z
_atom_site_occupancy
K1 K 0.0000 0.0000 0.0000 1
Pr1 Pr 0.0321 0.6188 0.3018 1
Pr2 Pr 0.3333 0.6667 0.1008 1
Pr3 Pr 0.3333 0.6667 0.5072 1
C1 C 0.3333 0.6667 0.2561 1
C2 C 0.3333 0.6667 0.3527 1
Cl1 Cl 0.0027 0.3250 0.6173 1
Cl2 Cl 0.0130 0.7574 0.8251 1
Cl3 Cl 0.0231 0.3811 0.9883 1
Cl4 Cl 0.3333 0.6667 0.7490 1
```

Calculated values
As for the total energy: -5.58 eV/atom. The value obtained for the formation energy without anion corrections is -1887 meV per atom. As for the size of the total moment: 0.0 Bohr magnetons per cell.

---

What is the formula in the sixth record? KPr5C2Cl10